VASP calculation (GGA-PBE) on an optimized crystal structure of Cu2Se3.

abc: 3.6339 3.6339 8.3984
angles: 90.00 90.00 120.00
Fractional coordinates of all 5 atoms:
1 Cu 0.6667 0.3333 0.1852
2 Cu 0.3333 0.6667 0.8148
3 Se 0.0000 0.0000 0.0000
4 Se 0.6667 0.3333 0.6696
5 Se 0.3333 0.6667 0.3304

Results
The calculation puts the uncorrected formation energy at 0.013 eV per atom. Its spin magnetization is 0.0 μB per formula unit. Its total energy is -3.7163 eV/atom.

VASP calculation (GGA-PBE) on an optimized crystal structure of BeZn2Ag.

abc: 4.6014 4.6014 4.6014
angles: 130.28 130.28 72.96
Fractional coordinates of all 4 atoms:
1 Be 0.7500 0.2500 0.5000
2 Zn 0.0000 0.0000 0.0000
3 Zn 0.2500 0.7500 0.5000
4 Ag 0.5000 0.5000 0.0000

Results
Its spin magnetization is 0.0 μB per formula unit. Its total energy is -2.1400 eV/atom. As for the formation energy: 0.141 eV per atom.

Question: Look up the spin magnetization of the second one.
Answer: 0.0 μB per formula unit